# 1
Compound: Fe2Se3S
Source: OQMD
Functional: PBE-GGA
Structure: optimized geometry

```
Fe2Se3S
1.0
4.723 0.000 0.000
0.000 3.521 0.000
-0.117 0.000 5.684
Fe S Se
2 1 3
Direct
0.506 0.000 0.508
0.989 0.500 0.995
0.717 0.000 0.867
0.286 0.000 0.128
0.785 0.500 0.368
0.218 0.500 0.634
```

Results
* SG: Pm, No. 6
* M_tot: 0.01 μB/cell

***

# 2
Compound: CuBr
Source: OQMD
Functional: PBE-GGA
Structure: optimized geometry

```
CuBr
1.0
-3.052 2.255 1.279
2.214 -2.052 2.631
3.438 4.364 0.510
Br Cu
2 2
Direct
0.333 0.667 0.250
0.667 0.333 0.750
0.000 0.000 0.000
0.000 0.000 0.500
```

Results
* SG: P6_3/mmc, No. 194

***

Number 1: DFT total energy -5.5735 eV per atom. Number 2: DFT total energy -2.7787 eV per atom.